Model w:
# RbCaSeCl2, optimized geometry, DFT GGA-PBE
# - Calculated density: 2.66 g/cm3
# - Total moment: 1.00 μB/cell
data_RbCaSeCl2
_cell_length_a 5.4376
_cell_length_b 5.4376
_cell_length_c 5.8132
_cell_angle_alpha 90.00
_cell_angle_beta 90.00
_cell_angle_gamma 90.00
_space_group_name_H-M_alt 'P 4/m m m'
_space_group_IT_number 123
_space_group_name_Hall '-P 4 2'
loop_
_atom_site_label
_atom_site_type_symbol
_atom_site_fract_x
_atom_site_fract_y
_atom_site_fract_z
Rb1 Rb 0.0000 0.0000 0.0000
Ca1 Ca 0.5000 0.5000 0.5000
Se1 Se 0.5000 0.5000 0.0000
Cl1 Cl 0.0000 0.5000 0.5000


Model x:
# RbCaSeCl2, optimized geometry, DFT GGA-PBE
# - Calculated density: 2.12 g/cm3
# - Total moment: 0.00 μB/cell
data_RbCaSeCl2
_cell_length_a 6.4819
_cell_length_b 6.4819
_cell_length_c 5.1373
_cell_angle_alpha 90.00
_cell_angle_beta 90.00
_cell_angle_gamma 90.00
_space_group_name_H-M_alt 'P 4/m m m'
_space_group_IT_number 123
_space_group_name_Hall '-P 4 2'
loop_
_atom_site_label
_atom_site_type_symbol
_atom_site_fract_x
_atom_site_fract_y
_atom_site_fract_z
Rb1 Rb 0.0000 0.0000 0.0000
Ca1 Ca 0.5000 0.5000 0.0000
Se1 Se 0.5000 0.5000 0.5000
Cl1 Cl 0.0000 0.5000 0.5000


Which of them is least stable? Easy: model x.


Model w:
# CaReCl2, optimized geometry, DFT GGA-PBE
# - Calculated density: 5.58 g/cm3
# - Total moment: 4.00 μB/cell
data_CaReCl2
_cell_length_a 4.7852
_cell_length_b 4.7852
_cell_length_c 15.4427
_cell_angle_alpha 90.00
_cell_angle_beta 90.00
_cell_angle_gamma 90.00
_space_group_name_H-M_alt 'I -4 2 d'
_space_group_IT_number 122
_space_group_name_Hall 'I -4 2bw'
loop_
_atom_site_label
_atom_site_type_symbol
_atom_site_fract_x
_atom_site_fract_y
_atom_site_fract_z
Ca1 Ca 0.0000 0.0000 0.0000
Re1 Re 0.0000 0.0000 0.5000
Cl1 Cl 0.1897 0.2500 0.6250


Model x:
# CaReCl2, optimized geometry, DFT GGA-PBE
# - Calculated density: 5.08 g/cm3
# - Total moment: 20.00 μB/cell
data_CaReCl2
_cell_length_a 7.2988
_cell_length_b 7.2988
_cell_length_c 7.2988
_cell_angle_alpha 90.00
_cell_angle_beta 90.00
_cell_angle_gamma 90.00
_space_group_name_H-M_alt 'F -4 3 m'
_space_group_IT_number 216
_space_group_name_Hall 'F -4 2 3'
loop_
_atom_site_label
_atom_site_type_symbol
_atom_site_fract_x
_atom_site_fract_y
_atom_site_fract_z
Ca1 Ca 0.0000 0.0000 0.0000
Re1 Re 0.2500 0.2500 0.2500
Cl1 Cl 0.0000 0.0000 0.5000
Cl2 Cl 0.2500 0.2500 0.7500


Model y:
# CaReCl2, optimized geometry, DFT GGA-PBE
# - Calculated density: 7.03 g/cm3
# - Total moment: 0.36 μB/cell
data_CaReCl2
_cell_length_a 4.6371
_cell_length_b 4.6371
_cell_length_c 3.2665
_cell_angle_alpha 90.00
_cell_angle_beta 90.00
_cell_angle_gamma 90.00
_space_group_name_H-M_alt 'P 4/m m m'
_space_group_IT_number 123
_space_group_name_Hall '-P 4 2'
loop_
_atom_site_label
_atom_site_type_symbol
_atom_site_fract_x
_atom_site_fract_y
_atom_site_fract_z
Ca1 Ca 0.0000 0.0000 0.0000
Re1 Re 0.5000 0.5000 0.0000
Cl1 Cl 0.0000 0.5000 0.5000


Model z:
# CaReCl2, optimized geometry, DFT GGA-PBE
# - Calculated density: 6.00 g/cm3
# - Total moment: 1.84 μB/cell
data_CaReCl2
_cell_length_a 3.0942
_cell_length_b 4.3718
_cell_length_c 6.0763
_cell_angle_alpha 90.00
_cell_angle_beta 90.00
_cell_angle_gamma 90.00
_space_group_name_H-M_alt 'P m m m'
_space_group_IT_number 47
loop_
_space_group_symop_operation_xyz
'x,y,z'
'-x,-y,-z'
'-x,-y,z'
'x,y,-z'
'x,-y,-z'
'-x,y,z'
'-x,y,-z'
'x,-y,z'
loop_
_atom_site_label
_atom_site_type_symbol
_atom_site_fract_x
_atom_site_fract_y
_atom_site_fract_z
Ca1 Ca 0.0000 0.0000 0.0000
Re1 Re 0.5000 0.0000 0.5000
Cl1 Cl 0.0000 0.5000 0.5000
Cl2 Cl 0.5000 0.5000 0.0000


Which of them is least stable? Easy: model x.


Model w:
# CaReCl2, optimized geometry, DFT GGA-PBE
# - Calculated density: 5.05 g/cm3
# - Total moment: 0.00 μB/cell
data_CaReCl2
_cell_length_a 3.9330
_cell_length_b 3.9330
_cell_length_c 21.8893
_cell_angle_alpha 90.00
_cell_angle_beta 90.00
_cell_angle_gamma 120.00
_space_group_name_H-M_alt 'R -3 m'
_space_group_IT_number 166
_space_group_name_Hall '-R 3 2"'
loop_
_atom_site_label
_atom_site_type_symbol
_atom_site_fract_x
_atom_site_fract_y
_atom_site_fract_z
Ca1 Ca 0.0000 0.0000 0.0000
Re1 Re 0.0000 0.0000 0.5000
Cl1 Cl 0.0000 0.0000 0.1225


Model x:
# CaReCl2, optimized geometry, DFT GGA-PBE
# - Calculated density: 6.18 g/cm3
# - Total moment: 0.00 μB/cell
data_CaReCl2
_cell_length_a 3.7648
_cell_length_b 4.0234
_cell_length_c 5.2753
_cell_angle_alpha 90.00
_cell_angle_beta 92.53
_cell_angle_gamma 90.00
_space_group_name_H-M_alt 'P 1 2/m 1'
_space_group_IT_number 10
loop_
_space_group_symop_operation_xyz
'x,y,z'
'-x,-y,-z'
'-x,y,-z'
'x,-y,z'
loop_
_atom_site_label
_atom_site_type_symbol
_atom_site_fract_x
_atom_site_fract_y
_atom_site_fract_z
Ca1 Ca 0.0000 0.0000 0.0000
Re1 Re 0.5000 0.0000 0.5000
Cl1 Cl 0.3133 0.5000 0.7213


Which of them is least stable? Easy: model w.


Model w:
# CaReCl2, optimized geometry, DFT GGA-PBE
# - Calculated density: 4.81 g/cm3
# - Total moment: 1.77 μB/cell
data_CaReCl2
_cell_length_a 3.5884
_cell_length_b 4.8355
_cell_length_c 11.8278
_cell_angle_alpha 90.00
_cell_angle_beta 90.00
_cell_angle_gamma 90.00
_space_group_name_H-M_alt 'I m m m'
_space_group_IT_number 71
_space_group_name_Hall '-I 2 2'
loop_
_atom_site_label
_atom_site_type_symbol
_atom_site_fract_x
_atom_site_fract_y
_atom_site_fract_z
Ca1 Ca 0.0000 0.0000 0.0000
Re1 Re 0.0000 0.0000 0.5000
Cl1 Cl 0.0000 0.5000 0.1401


Model x:
# CaReCl2, optimized geometry, DFT GGA-PBE
# - Calculated density: 5.63 g/cm3
# - Total moment: 6.08 μB/cell
data_CaReCl2
_cell_length_a 3.8285
_cell_length_b 3.8285
_cell_length_c 11.9597
_cell_angle_alpha 90.00
_cell_angle_beta 90.00
_cell_angle_gamma 90.00
_space_group_name_H-M_alt 'I -4 m 2'
_space_group_IT_number 119
_space_group_name_Hall 'I -4 -2'
loop_
_atom_site_label
_atom_site_type_symbol
_atom_site_fract_x
_atom_site_fract_y
_atom_site_fract_z
Ca1 Ca 0.0000 0.0000 0.0000
Re1 Re 0.0000 0.5000 0.2500
Cl1 Cl 0.0000 0.0000 0.5000
Cl2 Cl 0.0000 0.5000 0.7500


Which of them is least stable? Easy: model x.


Model w:
# CaReCl2, optimized geometry, DFT GGA-PBE
# - Calculated density: 4.24 g/cm3
# - Total moment: 4.85 μB/cell
data_CaReCl2
_cell_length_a 13.1091
_cell_length_b 3.3754
_cell_length_c 5.2590
_cell_angle_alpha 90.00
_cell_angle_beta 91.50
_cell_angle_gamma 90.00
_space_group_name_H-M_alt 'C 1 2/m 1'
_space_group_IT_number 12
loop_
_space_group_symop_operation_xyz
'x,y,z'
'-x,-y,-z'
'-x,y,-z'
'x,-y,z'
'x+1/2,y+1/2,z'
'-x+1/2,-y+1/2,-z'
'-x+1/2,y+1/2,-z'
'x+1/2,-y+1/2,z'
loop_
_atom_site_label
_atom_site_type_symbol
_atom_site_fract_x
_atom_site_fract_y
_atom_site_fract_z
Ca1 Ca 0.0000 0.0000 0.0000
Re1 Re 0.0000 0.5000 0.5000
Cl1 Cl 0.1448 0.5000 0.7717


Model x:
# CaReCl2, optimized geometry, DFT GGA-PBE
# - Calculated density: 6.46 g/cm3
# - Total moment: 0.00 μB/cell
data_CaReCl2
_cell_length_a 3.1826
_cell_length_b 3.1826
_cell_length_c 26.1315
_cell_angle_alpha 90.00
_cell_angle_beta 90.00
_cell_angle_gamma 120.00
_space_group_name_H-M_alt 'R -3 m'
_space_group_IT_number 166
_space_group_name_Hall '-R 3 2"'
loop_
_atom_site_label
_atom_site_type_symbol
_atom_site_fract_x
_atom_site_fract_y
_atom_site_fract_z
Ca1 Ca 0.0000 0.0000 0.0000
Re1 Re 0.0000 0.0000 0.5000
Cl1 Cl 0.0000 0.0000 0.4095


Model y:
# CaReCl2, optimized geometry, DFT GGA-PBE
# - Calculated density: 4.13 g/cm3
# - Total moment: 12.00 μB/cell
data_CaReCl2
_cell_length_a 3.5642
_cell_length_b 3.5642
_cell_length_c 32.5488
_cell_angle_alpha 90.00
_cell_angle_beta 90.00
_cell_angle_gamma 120.00
_space_group_name_H-M_alt 'R -3 m'
_space_group_IT_number 166
_space_group_name_Hall '-R 3 2"'
loop_
_atom_site_label
_atom_site_type_symbol
_atom_site_fract_x
_atom_site_fract_y
_atom_site_fract_z
Ca1 Ca 0.0000 0.0000 0.0000
Re1 Re 0.0000 0.0000 0.5000
Cl1 Cl 0.0000 0.0000 0.2819


Model z:
# CaReCl2, optimized geometry, DFT GGA-PBE
# - Calculated density: 6.11 g/cm3
# - Total moment: 0.68 μB/cell
data_CaReCl2
_cell_length_a 3.2452
_cell_length_b 4.4755
_cell_length_c 5.5575
_cell_angle_alpha 90.00
_cell_angle_beta 90.26
_cell_angle_gamma 90.00
_space_group_name_H-M_alt 'P 1 m 1'
_space_group_IT_number 6
loop_
_space_group_symop_operation_xyz
'x,y,z'
'x,-y,z'
loop_
_atom_site_label
_atom_site_type_symbol
_atom_site_fract_x
_atom_site_fract_y
_atom_site_fract_z
Ca1 Ca 0.0000 0.0000 0.0000
Re1 Re 0.4978 0.5000 0.6916
Cl1 Cl 0.4961 0.0000 0.5855
Cl2 Cl 0.5009 0.5000 0.2045


Which of them is least stable? Easy: model y.


Model w:
# CaReSCl2, optimized geometry, DFT GGA-PBE
# - Calculated density: 4.85 g/cm3
# - Total moment: 0.00 μB/cell
data_CaReSCl2
_cell_length_a 4.9958
_cell_length_b 4.9958
_cell_length_c 4.5126
_cell_angle_alpha 90.00
_cell_angle_beta 90.00
_cell_angle_gamma 90.00
_space_group_name_H-M_alt 'P 4/m m m'
_space_group_IT_number 123
_space_group_name_Hall '-P 4 2'
loop_
_atom_site_label
_atom_site_type_symbol
_atom_site_fract_x
_atom_site_fract_y
_atom_site_fract_z
Ca1 Ca 0.0000 0.0000 0.0000
Re1 Re 0.5000 0.5000 0.5000
S1 S 0.5000 0.5000 0.0000
Cl1 Cl 0.0000 0.5000 0.5000


Model x:
# CaReSCl2, optimized geometry, DFT GGA-PBE
# - Calculated density: 3.78 g/cm3
# - Total moment: 5.00 μB/cell
data_CaReSCl2
_cell_length_a 5.0577
_cell_length_b 5.0577
_cell_length_c 5.6566
_cell_angle_alpha 90.00
_cell_angle_beta 90.00
_cell_angle_gamma 90.00
_space_group_name_H-M_alt 'P 4/m m m'
_space_group_IT_number 123
_space_group_name_Hall '-P 4 2'
loop_
_atom_site_label
_atom_site_type_symbol
_atom_site_fract_x
_atom_site_fract_y
_atom_site_fract_z
Ca1 Ca 0.0000 0.0000 0.0000
Re1 Re 0.5000 0.5000 0.5000
S1 S 0.0000 0.0000 0.5000
Cl1 Cl 0.0000 0.5000 0.0000


Which of them is least stable? Easy: model x.